No. 1
The following is a DFT calculation (PBE) of a relaxed structure of SrZnBr4.

Lattice parameters (Å, degrees): 6.482 6.482 6.482 60.00 60.00 60.00
Sites, in units of the cell vectors:
Sr 0.000 0.000 0.000
Zn 0.750 0.750 0.750
Br 0.375 0.375 0.375
Br 0.375 0.375 0.875
Br 0.375 0.875 0.375
Br 0.875 0.375 0.375

Calculated values
Raw total energy: -1.962 eV/atom
Calculated density: 4075 kg/m³
Crystal system: cubic


No. 2
The following is a DFT calculation (PBE) of a relaxed structure of SrZnBr.

Lattice parameters (Å, degrees): 13.950 4.579 4.579 59.91 90.00 90.00
Sites, in units of the cell vectors:
Sr 0.146 0.000 0.000
Sr 0.854 0.000 0.000
Zn 0.000 0.667 0.667
Zn 0.500 0.987 0.987
Br 0.261 0.667 0.667
Br 0.739 0.667 0.667

Calculated values
Calculated density: 3057 kg/m³
Distance to the lowest polymorph of the same formula: 331 meV per atom
Crystal system: orthorhombic


No. 3
The following is a DFT calculation (PBE) of a relaxed structure of SrZnBr.

Lattice parameters (Å, degrees): 5.281 5.281 4.392 90.00 90.00 120.00
Sites, in units of the cell vectors:
Sr 0.000 0.000 0.000
Zn 0.667 0.333 0.500
Br 0.333 0.667 0.000

Calculated values
Calculated density: 3647 kg/m³
Distance to the lowest polymorph of the same formula: 416 meV per atom
Crystal system: hexagonal


No. 4
The following is a DFT calculation (PBE) of a relaxed structure of SrZnBr4.

Lattice parameters (Å, degrees): 8.241 8.241 8.241 105.75 105.75 117.21
Sites, in units of the cell vectors:
Sr 0.375 0.625 0.750
Sr 0.625 0.375 0.250
Zn 0.125 0.875 0.250
Zn 0.875 0.125 0.750
Br 0.121 0.688 0.434
Br 0.246 0.312 0.934
Br 0.312 0.246 0.434
Br 0.312 0.879 0.066
Br 0.688 0.121 0.934
Br 0.688 0.754 0.566
Br 0.754 0.688 0.066
Br 0.879 0.312 0.566

Calculated values
Raw total energy: -3.082 eV/atom
Calculated density: 3695 kg/m³
Crystal system: tetragonal


No. 5
The following is a DFT calculation (PBE) of a relaxed structure of SrZnBr.

Lattice parameters (Å, degrees): 7.254 7.251 3.955 74.22 74.14 31.65
Sites, in units of the cell vectors:
Sr 0.000 0.000 0.000
Zn 0.360 0.360 0.640
Br 0.618 0.618 0.382

Calculated values
Calculated density: 3695 kg/m³
Distance to the lowest polymorph of the same formula: 343 meV per atom
Crystal system: orthorhombic


No. 6
The following is a DFT calculation (PBE) of a relaxed structure of SrZnBr.

Lattice parameters (Å, degrees): 4.445 4.445 11.897 91.13 91.13 60.02
Sites, in units of the cell vectors:
Sr 0.007 0.007 0.199
Sr 0.993 0.993 0.801
Zn 0.333 0.333 0.003
Zn 0.667 0.667 0.997
Br 0.321 0.321 0.659
Br 0.679 0.679 0.341

Calculated values
Calculated density: 3800 kg/m³
Distance to the lowest polymorph of the same formula: 0 meV per atom
Crystal system: monoclinic